# 1
The following is a DFT calculation (PBE) of an optimized crystal structure of Ca2ScRe.

Lattice parameters (Å, degrees): 3.7962 4.7311 10.7274 90.00 90.00 90.00
Fractional positions:
Ca: 0.0000 0.0000 0.2161
Ca: 0.0000 0.0000 0.7839
Ca: 0.5000 0.5000 0.2161
Ca: 0.5000 0.5000 0.7839
Sc: 0.0000 0.5000 0.5000
Sc: 0.5000 0.0000 0.5000
Re: 0.0000 0.5000 0.0000
Re: 0.5000 0.0000 0.0000

Size of the total moment = 0.051 μB/f.u.
Crystal system = orthorhombic
Polymorph energy (0 for the lowest one) = 412 meV/atom
D(E_F) = 1.45 states/eV/atom
DFT formation energy = 683 meV/atom
Symmetry = No. 65



# 2
The following is a DFT calculation (PBE) of an optimized crystal structure of LiSn4Pd5.

Lattice parameters (Å, degrees): 9.1615 9.2653 4.4481 90.00 90.00 90.00
Fractional positions:
Li: 0.2500 0.2500 0.2451
Li: 0.7500 0.7500 0.7549
Sn: 0.0690 0.2500 0.7434
Sn: 0.2500 0.5680 0.1600
Sn: 0.2500 0.9320 0.1600
Sn: 0.4310 0.2500 0.7434
Sn: 0.5690 0.7500 0.2566
Sn: 0.7500 0.0680 0.8400
Sn: 0.7500 0.4320 0.8400
Sn: 0.9310 0.7500 0.2566
Pd: 0.0028 0.0917 0.2470
Pd: 0.0028 0.4083 0.2470
Pd: 0.2500 0.7500 0.6421
Pd: 0.4972 0.0917 0.2470
Pd: 0.4972 0.4083 0.2470
Pd: 0.5028 0.5917 0.7530
Pd: 0.5028 0.9083 0.7530
Pd: 0.7500 0.2500 0.3579
Pd: 0.9972 0.5917 0.7530
Pd: 0.9972 0.9083 0.7530

Size of the total moment = 0.000 μB/f.u.
Crystal system = orthorhombic
D(E_F) = 0.39 states/eV/atom
DFT formation energy = -449 meV/atom
Symmetry = No. 59



# 3
The following is a DFT calculation (PBE) of an optimized crystal structure of TbHoEr2Th.

Lattice parameters (Å, degrees): 8.3003 6.1864 6.7067 90.00 99.05 90.00
Fractional positions:
Tb: 0.0000 0.0000 0.0000
Tb: 0.0000 0.0000 0.5000
Ho: 0.5000 0.1255 0.2500
Ho: 0.5000 0.8745 0.7500
Er: 0.3274 0.3780 0.6109
Er: 0.3274 0.6220 0.1109
Er: 0.6726 0.3780 0.8891
Er: 0.6726 0.6220 0.3891
Th: 0.0000 0.4594 0.2500
Th: 0.0000 0.5406 0.7500

Size of the total moment = 0.000 μB/f.u.
Crystal system = monoclinic
D(E_F) = 1.42 states/eV/atom
DFT formation energy = 376 meV/atom
Symmetry = No. 13



# 4
The following is a DFT calculation (PBE) of an optimized crystal structure of ErTl2CuBr6.

Lattice parameters (Å, degrees): 7.9002 9.0099 12.3629 90.00 128.75 90.00
Fractional positions:
Er: 0.0000 0.0000 0.0000
Er: 0.0000 0.5000 0.5000
Tl: 0.2828 0.0973 0.7500
Tl: 0.2828 0.4027 0.2500
Tl: 0.7172 0.5973 0.7500
Tl: 0.7172 0.9027 0.2500
Cu: 0.5000 0.0000 0.5000
Cu: 0.5000 0.5000 0.0000
Br: 0.1742 0.0355 0.2829
Br: 0.1742 0.4645 0.7829
Br: 0.2193 0.7369 0.0532
Br: 0.2193 0.7631 0.5532
Br: 0.3416 0.1566 0.0476
Br: 0.3416 0.3434 0.5476
Br: 0.6584 0.6566 0.4524
Br: 0.6584 0.8434 0.9524
Br: 0.7807 0.2369 0.4468
Br: 0.7807 0.2631 0.9468
Br: 0.8258 0.5355 0.2171
Br: 0.8258 0.9645 0.7171

Size of the total moment = 0.123 μB/f.u.
Crystal system = monoclinic
D(E_F) = 0.00 states/eV/atom
Final energy = -34.6 eV per formula unit
Symmetry = No. 14



# 5
The following is a DFT calculation (PBE) of an optimized crystal structure of Gd3AsO7.

Lattice parameters (Å, degrees): 6.4470 6.4470 7.4429 90.00 90.00 109.31
Fractional positions:
Gd: 0.0184 0.0184 0.0000
Gd: 0.0349 0.4981 0.2531
Gd: 0.4981 0.0349 0.7469
Gd: 0.5019 0.9651 0.2469
Gd: 0.9651 0.5019 0.7531
Gd: 0.9816 0.9816 0.5000
As: 0.5005 0.5005 0.0000
As: 0.4995 0.4995 0.5000
O: 0.1294 0.8706 0.7500
O: 0.1358 0.8642 0.2500
O: 0.1942 0.4318 0.9738
O: 0.2020 0.4455 0.5309
O: 0.4318 0.1942 0.0262
O: 0.4423 0.5577 0.2500
O: 0.4455 0.2020 0.4691
O: 0.5545 0.7980 0.9691
O: 0.5577 0.4423 0.7500
O: 0.5682 0.8058 0.5262
O: 0.7980 0.5545 0.0309
O: 0.8058 0.5682 0.4738
O: 0.8642 0.1358 0.7500
O: 0.8706 0.1294 0.2500

Size of the total moment = 20.999 μB/f.u.
Crystal system = orthorhombic
Polymorph energy (0 for the lowest one) = 3 meV/atom
D(E_F) = 0.00 states/eV/atom
Symmetry = No. 20



# 6
The following is a DFT calculation (PBE) of an optimized crystal structure of TiMoIr2.

Lattice parameters (Å, degrees): 3.9656 3.9656 3.8263 90.00 90.00 90.00
Fractional positions:
Ti: 0.0000 0.0000 0.0000
Mo: 0.5000 0.5000 0.0000
Ir: 0.0000 0.5000 0.5000
Ir: 0.5000 0.0000 0.5000

Size of the total moment = 0.000 μB/f.u.
Crystal system = tetragonal
Polymorph energy (0 for the lowest one) = 32 meV/atom
D(E_F) = 1.26 states/eV/atom
DFT formation energy = -488 meV/atom
Symmetry = No. 123



# 7
The following is a DFT calculation (PBE) of an optimized crystal structure of YBeOs2.

Lattice parameters (Å, degrees): 5.4382 7.7557 3.0889 90.00 90.00 90.00
Fractional positions:
Y: 0.0000 0.0000 0.0000
Y: 0.5000 0.5000 0.0000
Be: 0.0000 0.5000 0.0000
Be: 0.5000 0.0000 0.0000
Os: 0.2500 0.2500 0.5000
Os: 0.2500 0.7500 0.5000
Os: 0.7500 0.2500 0.5000
Os: 0.7500 0.7500 0.5000

Size of the total moment = 0.000 μB/f.u.
Crystal system = orthorhombic
D(E_F) = 0.94 states/eV/atom
DFT formation energy = 572 meV/atom
Symmetry = No. 65



# 8
The following is a DFT calculation (PBE) of an optimized crystal structure of SrMg2Cd.

Lattice parameters (Å, degrees): 4.7113 4.7113 22.8659 90.00 90.00 90.00
Fractional positions:
Sr: 0.0000 0.0000 0.0000
Sr: 0.0000 0.5000 0.2500
Sr: 0.5000 0.0000 0.7500
Sr: 0.5000 0.5000 0.5000
Mg: 0.2049 0.2500 0.6250
Mg: 0.2500 0.7049 0.8750
Mg: 0.2500 0.7951 0.3750
Mg: 0.2951 0.2500 0.1250
Mg: 0.7049 0.7500 0.1250
Mg: 0.7500 0.2049 0.3750
Mg: 0.7500 0.2951 0.8750
Mg: 0.7951 0.7500 0.6250
Cd: 0.0000 0.0000 0.5000
Cd: 0.0000 0.5000 0.7500
Cd: 0.5000 0.0000 0.2500
Cd: 0.5000 0.5000 0.0000

Size of the total moment = 0.000 μB/f.u.
Crystal system = tetragonal
D(E_F) = 0.53 states/eV/atom
DFT formation energy = 87 meV/atom
Symmetry = No. 122



# 9
The following is a DFT calculation (PBE) of an optimized crystal structure of Y2ZnGa.

Lattice parameters (Å, degrees): 5.0682 5.0682 3.5717 90.00 90.00 90.00
Fractional positions:
Y: 0.0000 0.5000 0.0000
Y: 0.5000 0.0000 0.0000
Zn: 0.0000 0.0000 0.5000
Ga: 0.5000 0.5000 0.5000

Size of the total moment = 0.000 μB/f.u.
Crystal system = tetragonal
D(E_F) = 0.90 states/eV/atom
DFT formation energy = -498 meV/atom
Symmetry = No. 123



# 10
The following is a DFT calculation (PBE) of an optimized crystal structure of Sr2ScP.

Lattice parameters (Å, degrees): 4.2225 4.2225 29.4117 90.00 90.00 120.00
Fractional positions:
Sr: 0.0000 0.0000 0.2226
Sr: 0.0000 0.0000 0.7774
Sr: 0.3333 0.6667 0.4440
Sr: 0.3333 0.6667 0.8893
Sr: 0.6667 0.3333 0.1107
Sr: 0.6667 0.3333 0.5560
Sc: 0.0000 0.0000 0.0000
Sc: 0.3333 0.6667 0.6667
Sc: 0.6667 0.3333 0.3333
P: 0.0000 0.0000 0.5000
P: 0.3333 0.6667 0.1667
P: 0.6667 0.3333 0.8333

Size of the total moment = 2.099 μB/f.u.
Crystal system = trigonal
D(E_F) = 1.26 states/eV/atom
DFT formation energy = -199 meV/atom
Symmetry = No. 166



# 11
The following is a DFT calculation (PBE) of an optimized crystal structure of CaZr2Br.

Lattice parameters (Å, degrees): 4.7675 3.3679 6.7464 90.00 110.61 90.00
Fractional positions:
Ca: 0.0000 0.0000 0.0000
Zr: 0.3178 0.5000 0.6330
Zr: 0.7400 0.0000 0.4770
Br: 0.5418 0.5000 0.0843

Size of the total moment = 0.000 μB/f.u.
Crystal system = monoclinic
Polymorph energy (0 for the lowest one) = 53 meV/atom
D(E_F) = 0.43 states/eV/atom
Symmetry = No. 6



# 12
The following is a DFT calculation (PBE) of an optimized crystal structure of ReNi6Pt.

Lattice parameters (Å, degrees): 3.6213 7.2400 7.3070 90.00 90.00 90.00
Fractional positions:
Re: 0.0000 0.0000 0.0000
Re: 0.0000 0.5000 0.5000
Ni: 0.0000 0.0000 0.4814
Ni: 0.0000 0.2429 0.2380
Ni: 0.0000 0.2571 0.7380
Ni: 0.0000 0.5000 0.9814
Ni: 0.0000 0.7429 0.7380
Ni: 0.0000 0.7571 0.2380
Ni: 0.5000 0.0000 0.2392
Ni: 0.5000 0.2479 0.9910
Ni: 0.5000 0.2521 0.4910
Ni: 0.5000 0.5000 0.7392
Ni: 0.5000 0.7479 0.4910
Ni: 0.5000 0.7521 0.9910
Pt: 0.5000 0.0000 0.7373
Pt: 0.5000 0.5000 0.2373

Size of the total moment = 0.000 μB/f.u.
Crystal system = orthorhombic
Polymorph energy (0 for the lowest one) = 0 meV/atom
D(E_F) = 1.24 states/eV/atom
DFT formation energy = -28 meV/atom
Symmetry = No. 38



> Which value of size of the total moment does entry 5 give?

20.999 μB/f.u.



> The highest size of the total moment belongs to which entry?

Gd3AsO7



> Which value of size of the total moment does entry 1 give?

0.051 μB/f.u.



> What is the D(E_F) in the second record?

0.39 states/eV/atom